Entry 1:
Below is LiHf5 after structural relaxation, with properties calculated at the GGA-PBE level.

Cell: 5.9291 5.9291 4.9290 Å, 90.00 90.00 120.00°
Space group P6/mmm (No. 191)
Symmetry-distinct sites (fractional):
Li (0.0000, 0.0000, 0.0000) [1 per cell]
Hf (0.0000, 0.5000, 0.5000) [3 per cell]
Hf (0.3333, 0.6667, 0.0000) [2 per cell]

Summary:
The calculation puts the total moment at 0.006 μB per cell. As for the raw total energy: -7.9462 eV/atom.

---

Entry 2:
Below is LiLuHf2 after structural relaxation, with properties calculated at the GGA-PBE level.

Cell: 7.0863 7.0863 7.0863 Å, 90.00 90.00 90.00°
Space group F-43m (No. 216)
Symmetry-distinct sites (fractional):
Li (0.0000, 0.0000, 0.0000) [4 per cell]
Lu (0.2500, 0.2500, 0.2500) [4 per cell]
Hf (0.0000, 0.0000, 0.5000) [4 per cell]
Hf (0.2500, 0.2500, 0.7500) [4 per cell]

Summary:
The calculation puts the total moment at 7.150 μB per cell. As for the raw total energy: -6.2438 eV/atom.

---

Entry 3:
Below is LiLuHfPd after structural relaxation, with properties calculated at the GGA-PBE level.

Cell: 6.6708 6.6708 6.6708 Å, 90.00 90.00 90.00°
Space group F-43m (No. 216)
Symmetry-distinct sites (fractional):
Li (0.0000, 0.0000, 0.0000) [4 per cell]
Lu (0.2500, 0.2500, 0.2500) [4 per cell]
Hf (0.0000, 0.0000, 0.5000) [4 per cell]
Pd (0.2500, 0.2500, 0.7500) [4 per cell]

Summary:
The calculation puts the total moment at 0.002 μB per cell. As for the raw total energy: -5.4566 eV/atom.

---

Entry 4:
Below is LiLuHfPd after structural relaxation, with properties calculated at the GGA-PBE level.

Cell: 6.7689 6.7689 6.7689 Å, 90.00 90.00 90.00°
Space group F-43m (No. 216)
Symmetry-distinct sites (fractional):
Li (0.0000, 0.0000, 0.0000) [4 per cell]
Lu (0.2500, 0.2500, 0.2500) [4 per cell]
Hf (0.2500, 0.2500, 0.7500) [4 per cell]
Pd (0.0000, 0.0000, 0.5000) [4 per cell]

Summary:
The calculation puts the total moment at 0.026 μB per cell. As for the raw total energy: -5.6518 eV/atom.

---

Entry 5:
Below is LiLuHfPt after structural relaxation, with properties calculated at the GGA-PBE level.

Cell: 6.7285 6.7285 6.7285 Å, 90.00 90.00 90.00°
Space group F-43m (No. 216)
Symmetry-distinct sites (fractional):
Li (0.0000, 0.0000, 0.0000) [4 per cell]
Lu (0.2500, 0.2500, 0.7500) [4 per cell]
Hf (0.2500, 0.2500, 0.2500) [4 per cell]
Pt (0.0000, 0.0000, 0.5000) [4 per cell]

Summary:
The calculation puts the total moment at 0.002 μB per cell. As for the raw total energy: -6.1634 eV/atom.

---

Entry 6:
Below is LiLuHfPt after structural relaxation, with properties calculated at the GGA-PBE level.

Cell: 6.6035 6.6035 6.6035 Å, 90.00 90.00 90.00°
Space group F-43m (No. 216)
Symmetry-distinct sites (fractional):
Li (0.0000, 0.0000, 0.0000) [4 per cell]
Lu (0.2500, 0.2500, 0.7500) [4 per cell]
Hf (0.0000, 0.0000, 0.5000) [4 per cell]
Pt (0.2500, 0.2500, 0.2500) [4 per cell]

Summary:
The calculation puts the total moment at 0.009 μB per cell. As for the raw total energy: -5.9629 eV/atom.

---

Entry 7:
Below is LiHfMg after structural relaxation, with properties calculated at the GGA-PBE level.

Cell: 6.6172 6.6172 6.6172 Å, 90.00 90.00 90.00°
Space group F-43m (No. 216)
Symmetry-distinct sites (fractional):
Li (0.0000, 0.0000, 0.0000) [4 per cell]
Hf (0.0000, 0.0000, 0.5000) [4 per cell]
Mg (0.2500, 0.2500, 0.7500) [4 per cell]

Summary:
The calculation puts the total moment at 3.243 μB per cell. As for the raw total energy: -3.4899 eV/atom.

---

Entry 8:
Below is LiHfMg after structural relaxation, with properties calculated at the GGA-PBE level.

Cell: 6.7390 6.7390 6.7390 Å, 90.00 90.00 90.00°
Space group F-43m (No. 216)
Symmetry-distinct sites (fractional):
Li (0.0000, 0.0000, 0.0000) [4 per cell]
Hf (0.2500, 0.2500, 0.2500) [4 per cell]
Mg (0.0000, 0.0000, 0.5000) [4 per cell]

Summary:
The calculation puts the total moment at 0.074 μB per cell. As for the raw total energy: -3.3434 eV/atom.

---

total moment of number 4 (LiLuHfPd)? 0.026 μB per cell

---

What is the total moment in the sixth record? 0.009 μB per cell